Y3Ho4Th2 | PBE | optimized geometry

magnetic moment	0.00	μB per atom
offset from the most stable computed form	0	meV/atom

Structure (POSCAR):
```
Y3Ho4Th2
1.0
8.097 -5.836 0.000
8.097 5.836 0.000
-0.801 0.000 6.065
Y Ho Th
6 8 4
Direct
0.109 0.891 0.750 Y
0.226 0.440 0.915 Y
0.440 0.226 0.415 Y
0.560 0.774 0.585 Y
0.774 0.560 0.085 Y
0.891 0.109 0.250 Y
0.081 0.353 0.347 Ho
0.314 0.587 0.481 Ho
0.353 0.081 0.847 Ho
0.413 0.686 0.019 Ho
0.587 0.314 0.981 Ho
0.647 0.919 0.153 Ho
0.686 0.413 0.519 Ho
0.919 0.647 0.653 Ho
0.025 0.749 0.189 Th
0.251 0.975 0.311 Th
0.749 0.025 0.689 Th
0.975 0.251 0.811 Th
```



Y5Ho4Th2 | PBE | optimized geometry

magnetic moment	0.00	μB per atom
offset from the most stable computed form	467	meV/atom

Structure (POSCAR):
```
Y5Ho4Th2
1.0
-1.712 4.610 12.249
1.712 -4.610 12.249
1.712 4.610 -12.249
Y Ho Th
5 4 2
Direct
0.000 0.000 0.000 Y
0.164 0.343 0.821 Y
0.479 0.657 0.821 Y
0.521 0.343 0.179 Y
0.836 0.657 0.179 Y
0.239 0.739 0.500 Ho
0.316 0.500 0.816 Ho
0.684 0.500 0.184 Ho
0.761 0.261 0.500 Ho
0.108 0.608 0.500 Th
0.892 0.392 0.500 Th
```



Y2HoTh | PBE | optimized geometry

magnetic moment	0.00	μB per atom
offset from the most stable computed form	122	meV/atom

Structure (POSCAR):
```
Y2HoTh
1.0
0.000 4.016 4.016
4.016 0.000 4.016
4.016 4.016 0.000
Y Ho Th
2 1 1
Direct
0.250 0.250 0.250 Y
0.750 0.750 0.750 Y
0.000 0.000 0.000 Ho
0.500 0.500 0.500 Th
```



Number 1: DOS at the Fermi energy 26.5 states/eV per cell, ΔE_f 0.12 eV per atom. Number 2: DOS at the Fermi energy 18.3 states/eV per cell, ΔE_f 0.52 eV per atom. Number 3: DOS at the Fermi energy 8.4 states/eV per cell, ΔE_f 0.15 eV per atom.